Record 1
DFT (PBE-GGA) results for a geometry-optimized TbEr2Ga2 structure.

The structure in extended XYZ format:
```
5
Lattice="-4.1162 0.5305 -1.7000 0.1389 -4.1743 -1.6340 -0.4903 -0.3444 7.0698" Properties=species:S:1:pos:R:3 pbc="T T T"
Er -1.1704 -3.1699 1.8844
Ga -2.4531 -2.2273 -0.6200
Tb 0.0000 0.0000 0.0000
Er -3.2973 -0.8183 1.8514
Ga -2.0145 -1.7609 4.3558
```

=====

Record 2
DFT (PBE-GGA) results for a geometry-optimized TbEr3Ga structure.

The structure in extended XYZ format:
```
10
Lattice="7.3459 -0.0132 -0.2974 -2.0225 7.0620 0.2974 -3.1904 -3.1251 5.8915" Properties=species:S:1:pos:R:3 pbc="T T T"
Er 3.8782 2.6056 0.9222
Tb -0.4412 5.8677 1.5328
Er -1.7453 1.3181 4.9693
Tb 2.5741 -1.9440 4.3587
Er -3.1947 4.5398 4.6368
Er 5.3277 -0.6161 1.2547
Ga 0.2482 -0.1874 3.5880
Er 0.0277 2.1062 1.5521
Ga 1.8848 4.1111 2.3035
Er 2.1052 1.8176 4.3394
```

=====

Record 3
DFT (PBE-GGA) results for a geometry-optimized Tb3ErGa8 structure.

The structure in extended XYZ format:
```
12
Lattice="5.4887 0.0000 0.0000 2.7443 4.7533 0.0000 2.7443 1.5844 9.0871" Properties=species:S:1:pos:R:3 pbc="T T T"
Ga 8.2330 3.1698 6.2392
Tb 5.4887 3.1689 4.5556
Er 8.2330 4.7533 3.3875
Ga 6.8605 2.3769 1.7124
Ga 2.7443 1.5844 3.9726
Tb 8.2330 4.7533 0.0202
Ga 8.2330 4.7533 8.5225
Ga 5.4887 4.7529 1.7124
Ga 6.8617 5.5451 6.2392
Ga 9.6044 5.5451 6.2392
Ga 4.1169 2.3769 1.7124
Tb 5.4887 3.1689 7.9375
```

=====

Record 4
DFT (PBE-GGA) results for a geometry-optimized TbErGaTc structure.

The structure in extended XYZ format:
```
4
Lattice="4.9394 0.0000 0.0000 2.4697 4.2776 0.0000 2.4697 1.4259 4.0330" Properties=species:S:1:pos:R:3 pbc="T T T"
Tc 0.0000 0.0000 0.0000
Ga 4.9394 2.8517 2.0165
Er 2.4697 1.4259 1.0082
Tb 7.4090 4.2776 3.0247
```

=====

Record 5
DFT (PBE-GGA) results for a geometry-optimized TbErTmGa structure.

The structure in extended XYZ format:
```
4
Lattice="-2.2356 4.2665 2.1738 -3.7778 -0.5672 3.6515 0.9950 1.2243 5.0436" Properties=species:S:1:pos:R:3 pbc="T T T"
Ga -1.2546 1.2309 2.7172
Er -2.5092 2.4618 5.4344
Tm -3.7638 3.6927 8.1517
Tb 0.0000 0.0000 0.0000
```

=====

Record 6
DFT (PBE-GGA) results for a geometry-optimized Tb2Er2ZnGa4 structure.

The structure in extended XYZ format:
```
9
Lattice="6.5540 0.1515 0.2187 -3.0131 5.8223 -0.2187 -3.0131 -2.2503 5.3743" Properties=species:S:1:pos:R:3 pbc="T T T"
Ga -1.2108 2.7722 4.0012
Ga -3.0131 3.8405 1.1544
Er 0.2639 3.8799 1.2889
Er 0.2639 -0.1564 4.0854
Tb -1.8790 1.1137 1.6075
Ga 1.7386 0.9513 1.3731
Tb -4.1473 2.4583 3.5481
Ga -3.0131 -0.2685 4.0012
Zn 0.0000 0.0000 0.0000
```

=====

Record 7
DFT (PBE-GGA) results for a geometry-optimized ErGa4Tc structure.

The structure in extended XYZ format:
```
12
Lattice="5.1674 -0.2516 -1.2473 -0.2735 6.1957 -2.3830 -0.9108 -0.7116 7.5158" Properties=species:S:1:pos:R:3 pbc="T T T"
Tc 1.2303 3.0336 -1.5156
Er 0.7256 0.9912 2.4937
Ga 2.7164 5.3426 -1.2818
Ga 3.6046 1.3283 3.0396
Ga 0.3784 3.9042 0.8459
Ga 2.8818 1.5970 0.1589
Er 3.2575 4.2413 1.3918
Tc 2.7528 2.1989 5.4011
Ga 1.2667 -0.1101 5.1673
Ga 1.1013 3.6354 3.7267
Ga -0.0490 1.1110 -0.4273
Ga 4.0321 4.1214 4.3129
```

=====

Record 8
DFT (PBE-GGA) results for a geometry-optimized ErGa8Tc2 structure.

The structure in extended XYZ format:
```
11
Lattice="4.8450 -0.0743 -0.1116 -0.9080 6.6497 0.7069 -0.9080 -1.9087 6.4089" Properties=species:S:1:pos:R:3 pbc="T T T"
Ga 0.0629 2.9186 4.3807
Ga 1.5145 0.5701 4.6768
Tc -0.9080 4.2507 2.3052
Ga 2.9396 2.5029 6.1376
Er 2.4225 -0.0372 -0.0558
Ga 2.9662 1.7480 2.6236
Tc -0.9080 0.4902 4.8106
Ga 0.0894 2.1637 0.8666
Ga 1.5145 4.0965 2.3274
Ga 2.9396 4.7002 4.6737
Ga 0.0894 -0.0336 2.3306
```

=====

| no. | energy relative to the elements (kJ/mol of atoms) |
| --- | --- |
| 1 | -36.3 |
| 2 | -6.3 |
| 3 | -53.8 |
| 4 | -23.6 |
| 5 | -8.5 |
| 6 | -25.8 |
| 7 | -23.2 |
| 8 | -15.7 |